Compound: TaMo5
Source: Alexandria via LeMat-Bulk
Functional: GGA-PBE
Structure: relaxed

The space group is P6/mmm (No. 191) and the conventional cell measures 5.1519, 5.1519 and 4.5869 Å, with angles of 90.00, 90.00 and 120.00 degrees. Symmetry generates all atoms from Ta at (0.0000, 0.0000, 0.0000), Mo at (0.0000, 0.5000, 0.5000) and Mo at (0.3333, 0.6667, 0.0000).

As for the energy relative to the elements: 0.4385 eV/atom. Its final energy is -63.38 eV for the cell shown. The crystal system is hexagonal. The calculation puts the energy relative to the lowest polymorph listed for this composition at 0.547 eV/atom.